# CoMoP2Cl, PBEsol geometry, DFT meta-GGA SCAN
data_CoMoP2Cl
_chemical_formula_sum 'Co1 Mo1 P2 Cl1'
_space_group_name_H-M_alt 'P 4/m m m'
_space_group_IT_number 123
_space_group_name_Hall '-P 4 2'
_cell_length_a 4.609
_cell_length_b 4.609
_cell_length_c 4.765
_cell_angle_alpha 90.00
_cell_angle_beta 90.00
_cell_angle_gamma 90.00
loop_
_atom_site_label
_atom_site_type_symbol
_atom_site_fract_x
_atom_site_fract_y
_atom_site_fract_z
_atom_site_occupancy
Co1 Co 0.000 0.000 0.000 1
Mo1 Mo 0.500 0.500 0.500 1
P1 P 0.000 0.500 0.500 1
Cl1 Cl 0.500 0.500 0.000 1
# * N(E_F): 3.00 states/eV per cell
# * uncorrected formation energy: 0.664 eV/atom
# * ΔE to the lowest computed polymorph: 0 meV per atom